DFT (PBE+U) results for crystalline NiSn2H12O6F6 at its relaxed geometry.

total energy: -4.87 eV/atom
symmetry: P-1

Cell: 6.8447 7.0173 7.0500 Å, 76.32 72.00 77.55°
Element x y z (fractional)
Ni 0.0000 0.0000 0.0000
Sn 0.3328 0.3581 0.3277
Sn 0.6672 0.6419 0.6723
H 0.0837 0.3557 0.8023
H 0.0998 0.7419 0.7484
H 0.2145 0.9282 0.6387
H 0.2389 0.9386 0.2544
H 0.2622 0.2593 0.9124
H 0.3508 0.8105 0.0806
H 0.6492 0.1895 0.9194
H 0.7378 0.7407 0.0876
H 0.7611 0.0614 0.7456
H 0.7855 0.0718 0.3613
H 0.9002 0.2581 0.2516
H 0.9163 0.6443 0.1977
O 0.1704 0.2282 0.8424
O 0.1756 0.8366 0.7712
O 0.2127 0.8628 0.1644
O 0.7873 0.1372 0.8356
O 0.8244 0.1634 0.2288
O 0.8296 0.7718 0.1576
F 0.0265 0.4216 0.2924
F 0.2854 0.0587 0.4084
F 0.4207 0.3083 0.0250
F 0.5793 0.6917 0.9750
F 0.7146 0.9413 0.5916
F 0.9735 0.5784 0.7076